Density functional theory data (PBE) for crystalline Ta2O3 at its relaxed geometry.

a b c (Å): 6.084 6.084 7.537
angles (deg): 113.24 113.24 26.81
Atoms (fractional coordinates):
Ta (0.160, 0.160, 0.356)
Ta (0.336, 0.336, 0.156)
Ta (0.664, 0.664, 0.844)
Ta (0.840, 0.840, 0.644)
O (0.026, 0.026, 0.793)
O (0.315, 0.315, 0.847)
O (0.364, 0.364, 0.446)
O (0.636, 0.636, 0.554)
O (0.685, 0.685, 0.153)
O (0.974, 0.974, 0.207)

Values from the calculation:
calculated total energy = -9.894 eV/atom